## CaNbAsBr2 (PBE-GGA)

Data for a geometry-optimized CaNbAsBr2 structure.

Lattice parameters (Å, degrees): 5.2794 5.2794 5.9091 90.00 90.00 90.00
Each line ends with the local moment (μB).
Fractional positions:
Nb1 0.5000 0.5000 0.5000  2.73
Ca1 0.0000 0.0000 0.0000  -0.02
As1 0.0000 0.0000 0.5000  -0.55
Br1 0.0000 0.5000 0.0000  -0.05
Br2 0.5000 0.0000 0.0000  -0.05

Polymorph energy (0 for the lowest one) in eV per formula unit: 3.796
Spin magnetization in μB per formula unit: 2.0
Raw formation energy in eV/atom: 0.294
Crystal system: tetragonal